Record 1
Pr3Al2Hg | PBE | relaxed

Output
**SG**: P4/mmm (123)
**Crystal system**: tetragonal

a b c (Å): 3.6284 3.6284 12.3972
angles (deg): 90.00 90.00 90.00
Last column: nearest neighbours and their distance in Å.
Fractional positions:
Pr 0.0000 0.0000 0.0000  8 Al 3.28, 4 Pr 3.63
Pr 0.0000 0.0000 0.3240  4 Al 3.23, 4 Hg 3.37
Pr 0.0000 0.0000 0.6760  4 Al 3.23, 4 Hg 3.37
Al 0.5000 0.5000 0.1652  8 Pr 3.23-3.28
Al 0.5000 0.5000 0.8348  8 Pr 3.23-3.28
Hg 0.5000 0.5000 0.5000  8 Pr 3.37, 4 Hg 3.63

Record 2
Pr2Al3Hg | PBE | relaxed

Output
**SG**: Pmm2 (25)
**Energy above the most stable polymorph in this dataset**: 0.0000 eV per atom
**Crystal system**: orthorhombic

a b c (Å): 3.8224 4.6711 8.1062
angles (deg): 90.00 90.00 90.00
Last column: nearest neighbours and their distance in Å.
Fractional positions:
Pr 0.0000 0.0000 0.0000  8 Al 3.27-3.37, 4 Hg 3.33
Pr 0.0000 0.5000 0.4868  10 Al 3.25-3.32, 2 Hg 3.35
Al 0.5000 0.0000 0.3266  3 Al 2.68-2.69
Al 0.5000 0.0000 0.6569  1 Al 2.68, 2 Hg 2.71
Al 0.5000 0.5000 0.1631  2 Al 2.69, 1 Hg 2.73
Hg 0.5000 0.5000 0.8258  3 Al 2.71-2.73

Record 3
Pr2AlHg3 | PBE | relaxed

Output
**SG**: Fmmm (69)
**Crystal system**: orthorhombic

a b c (Å): 9.7586 9.2558 6.1498
angles (deg): 75.63 66.75 37.62
Last column: nearest neighbours and their distance in Å.
Fractional positions:
Pr 0.2391 0.7609 0.7609  10 Hg 3.38-3.43, 2 Al 3.42, 1 Pr 3.60
Pr 0.2500 0.2500 0.2500  8 Hg 3.34-3.36, 4 Al 3.39
Pr 0.7500 0.7500 0.7500  8 Hg 3.34-3.36, 4 Al 3.39
Pr 0.7609 0.2391 0.2391  10 Hg 3.38-3.43, 2 Al 3.42, 1 Pr 3.60
Al 0.3341 0.3341 0.6659  3 Hg 2.70-2.74
Al 0.6659 0.6659 0.3341  3 Hg 2.70-2.74
Hg 0.1723 0.1723 0.8277  1 Al 2.74, 2 Hg 2.92
Hg 0.1743 0.6543 0.3457  1 Al 2.70, 2 Hg 2.90-2.92
Hg 0.3457 0.8257 0.1743  1 Al 2.70, 2 Hg 2.90-2.92
Hg 0.6543 0.1743 0.8257  1 Al 2.70, 2 Hg 2.90-2.92
Hg 0.8257 0.3457 0.6543  1 Al 2.70, 2 Hg 2.90-2.92
Hg 0.8277 0.8277 0.1723  1 Al 2.74, 2 Hg 2.92

Record 4
Pr2AlHg8 | PBE | relaxed

Output
**SG**: P4/mmm (123)
**Crystal system**: tetragonal

a b c (Å): 4.7110 4.7110 12.6558
angles (deg): 90.00 90.00 90.00
Last column: nearest neighbours and their distance in Å.
Fractional positions:
Pr 0.0000 0.0000 0.1929  12 Hg 3.29-3.39
Pr 0.0000 0.0000 0.8071  12 Hg 3.29-3.39
Al 0.0000 0.0000 0.5000  8 Hg 2.84
Hg 0.0000 0.5000 0.0000  8 Hg 3.33-3.41, 4 Pr 3.39
Hg 0.0000 0.5000 0.3748  2 Al 2.84, 1 Hg 3.17
Hg 0.0000 0.5000 0.6252  2 Al 2.84, 1 Hg 3.17
Hg 0.5000 0.0000 0.0000  8 Hg 3.33-3.41, 4 Pr 3.39
Hg 0.5000 0.0000 0.3748  2 Al 2.84, 1 Hg 3.17
Hg 0.5000 0.0000 0.6252  2 Al 2.84, 1 Hg 3.17
Hg 0.5000 0.5000 0.1950  8 Hg 3.27-3.41, 4 Pr 3.33
Hg 0.5000 0.5000 0.8050  8 Hg 3.27-3.41, 4 Pr 3.33

Record 5
Pr8AlHg2 | PBE | relaxed

Output
**SG**: C2/m (12)
**Energy above the most stable polymorph in this dataset**: 0.0000 eV per atom
**Crystal system**: monoclinic

a b c (Å): 9.8856 9.8856 7.3041
angles (deg): 108.32 108.32 31.47
Last column: nearest neighbours and their distance in Å.
Fractional positions:
Pr 0.0170 0.0170 0.2716  1 Hg 3.17, 2 Al 3.23, 2 Pr 3.46
Pr 0.1962 0.1962 0.8146  1 Hg 3.11
Pr 0.3344 0.3344 0.5206  3 Hg 3.10-3.33, 1 Al 3.20
Pr 0.4103 0.4103 0.0377  1 Al 3.25, 2 Hg 3.38, 4 Pr 3.46-3.63
Pr 0.5897 0.5897 0.9623  1 Al 3.25, 2 Hg 3.38, 4 Pr 3.46-3.63
Pr 0.6656 0.6656 0.4794  3 Hg 3.10-3.33, 1 Al 3.20
Pr 0.8038 0.8038 0.1854  1 Hg 3.11
Pr 0.9830 0.9830 0.7284  1 Hg 3.17, 2 Al 3.23, 2 Pr 3.46
Al 0.5000 0.5000 0.5000  8 Pr 3.20-3.25
Hg 0.1759 0.1759 0.2198  7 Pr 3.10-3.38
Hg 0.8241 0.8241 0.7802  7 Pr 3.10-3.38

Record 6
Pr5Al2Hg2 | PBE | relaxed

Output
**SG**: Cmce (64)
**Crystal system**: orthorhombic

a b c (Å): 9.3816 9.3816 7.9415
angles (deg): 90.00 90.00 51.13
Last column: nearest neighbours and their distance in Å.
Fractional positions:
Pr 0.0000 0.0000 0.0000  4 Al 3.20-3.24
Pr 0.0504 0.6783 0.6765  3 Hg 3.20-3.27, 3 Al 3.26-3.39
Pr 0.1783 0.5504 0.1765  3 Hg 3.20-3.27, 3 Al 3.26-3.39
Pr 0.3217 0.9496 0.6765  3 Hg 3.20-3.27, 3 Al 3.26-3.39
Pr 0.4496 0.8217 0.1765  3 Hg 3.20-3.27, 3 Al 3.26-3.39
Pr 0.5000 0.5000 0.5000  4 Al 3.20-3.24
Pr 0.5504 0.1783 0.8235  3 Hg 3.20-3.27, 3 Al 3.26-3.39
Pr 0.6783 0.0504 0.3235  3 Hg 3.20-3.27, 3 Al 3.26-3.39
Pr 0.8217 0.4496 0.8235  3 Hg 3.20-3.27, 3 Al 3.26-3.39
Pr 0.9496 0.3217 0.3235  3 Hg 3.20-3.27, 3 Al 3.26-3.39
Al 0.1156 0.8844 0.3853  1 Al 2.61
Al 0.3844 0.6156 0.8853  1 Al 2.61
Al 0.6156 0.3844 0.1147  1 Al 2.61
Al 0.8844 0.1156 0.6147  1 Al 2.61
Hg 0.2155 0.2155 0.0000  6 Pr 3.20-3.27
Hg 0.2845 0.2845 0.5000  6 Pr 3.20-3.27
Hg 0.7155 0.7155 0.5000  6 Pr 3.20-3.27
Hg 0.7845 0.7845 0.0000  6 Pr 3.20-3.27

Record 7
Pr6Al2Hg | PBE | relaxed

Output
**SG**: Immm (71)
**Energy above the most stable polymorph in this dataset**: 0.0000 eV per atom
**Crystal system**: orthorhombic

a b c (Å): 9.0178 9.0178 9.0178
angles (deg): 111.63 110.58 106.25
Last column: nearest neighbours and their distance in Å.
Fractional positions:
Pr 0.0386 0.8245 0.2141  3 Al 3.11-3.21
Pr 0.2496 0.5491 0.2994  2 Al 3.17-3.34, 2 Hg 3.38-3.39
Pr 0.2496 0.9502 0.7006  2 Al 3.17-3.34, 2 Hg 3.38-3.39
Pr 0.2712 0.3200 0.5912  3 Al 3.25-3.35, 1 Hg 3.33
Pr 0.2712 0.6800 0.9512  3 Al 3.25-3.35, 1 Hg 3.33
Pr 0.3896 0.1755 0.2141  3 Al 3.11-3.21
Pr 0.6104 0.8245 0.7859  3 Al 3.11-3.21
Pr 0.7288 0.3200 0.0488  3 Al 3.25-3.35, 1 Hg 3.33
Pr 0.7288 0.6800 0.4088  3 Al 3.25-3.35, 1 Hg 3.33
Pr 0.7504 0.0498 0.2994  2 Al 3.17-3.34, 2 Hg 3.38-3.39
Pr 0.7504 0.4509 0.7006  2 Al 3.17-3.34, 2 Hg 3.38-3.39
Pr 0.9614 0.1755 0.7859  3 Al 3.11-3.21
Al 0.0000 0.1357 0.1357  1 Al 2.75
Al 0.0000 0.8643 0.8643  1 Al 2.75
Al 0.3782 0.3782 0.0000  1 Al 2.64
Al 0.6218 0.6218 0.0000  1 Al 2.64
Hg 0.0000 0.5000 0.5000  8 Pr 3.33-3.38, 2 Al 3.69
Hg 0.5000 0.0000 0.5000  8 Pr 3.39-3.50

Record 8
PrAlHg | PBE | relaxed

Output
**SG**: P-6m2 (187)
**Crystal system**: hexagonal

a b c (Å): 4.7535 4.7535 3.8053
angles (deg): 90.00 90.00 120.00
Last column: nearest neighbours and their distance in Å.
Fractional positions:
Pr 0.0000 0.0000 0.0000  6 Al 3.34, 6 Hg 3.34
Al 0.6667 0.3333 0.5000  3 Hg 2.74
Hg 0.3333 0.6667 0.5000  3 Al 2.74

Record 9
Pr4Al3Hg | PBE | relaxed

Output
**SG**: Pmm2 (25)
**Energy above the most stable polymorph in this dataset**: 0.0239 eV per atom
**Crystal system**: orthorhombic

a b c (Å): 3.8840 4.6539 12.3159
angles (deg): 90.00 90.00 90.00
Last column: nearest neighbours and their distance in Å.
Fractional positions:
Pr 0.0000 0.0000 0.0000  6 Al 3.21-3.28, 1 Hg 3.47
Pr 0.0000 0.5000 0.3017  7 Al 3.22-3.44
Pr 0.5000 0.0000 0.4938  5 Al 3.22-3.44, 2 Hg 3.38
Pr 0.5000 0.5000 0.8038  4 Hg 3.21, 3 Al 3.36-3.47
Al 0.0000 0.5000 0.5812  2 Hg 2.87, 4 Pr 3.22
Al 0.5000 0.0000 0.2144  2 Al 2.81
Al 0.5000 0.5000 0.0859  2 Al 2.81
Hg 0.0000 0.0000 0.7181  2 Al 2.87, 4 Pr 3.21

Record 10
Pr6Al2Hg | PBE | relaxed

Output
**SG**: P2_1/c (14)
**Energy above the most stable polymorph in this dataset**: 0.0754 eV per atom
**Crystal system**: monoclinic

a b c (Å): 5.9650 9.1960 11.3232
angles (deg): 90.00 117.02 90.00
Last column: nearest neighbours and their distance in Å.
Fractional positions:
Pr 0.0047 0.1619 0.0798  3 Al 3.22-3.32, 1 Hg 3.23, 4 Pr 3.38-3.60
Pr 0.0047 0.3381 0.5798  3 Al 3.22-3.32, 1 Hg 3.23, 4 Pr 3.38-3.60
Pr 0.3790 0.5170 0.3052  1 Hg 3.16, 3 Al 3.28-3.46, 2 Pr 3.38-3.51
Pr 0.3790 0.9830 0.8052  1 Hg 3.16, 3 Al 3.28-3.46, 2 Pr 3.38-3.51
Pr 0.3902 0.1679 0.4330  1 Hg 3.16, 3 Al 3.38-3.53, 2 Pr 3.43-3.51
Pr 0.3902 0.3321 0.9330  1 Hg 3.16, 3 Al 3.38-3.53, 2 Pr 3.43-3.51
Pr 0.6098 0.6679 0.0670  1 Hg 3.16, 3 Al 3.38-3.53, 2 Pr 3.43-3.51
Pr 0.6098 0.8321 0.5670  1 Hg 3.16, 3 Al 3.38-3.53, 2 Pr 3.43-3.51
Pr 0.6210 0.0170 0.1948  1 Hg 3.16, 3 Al 3.28-3.46, 2 Pr 3.38-3.51
Pr 0.6210 0.4830 0.6948  1 Hg 3.16, 3 Al 3.28-3.46, 2 Pr 3.38-3.51
Pr 0.9953 0.6619 0.4202  3 Al 3.22-3.32, 1 Hg 3.23, 4 Pr 3.38-3.60
Pr 0.9953 0.8381 0.9202  3 Al 3.22-3.32, 1 Hg 3.23, 4 Pr 3.38-3.60
Al 0.1819 0.6447 0.7448  9 Pr 3.22-3.53
Al 0.1819 0.8553 0.2448  9 Pr 3.22-3.53
Al 0.8181 0.1447 0.7552  9 Pr 3.22-3.53
Al 0.8181 0.3553 0.2552  9 Pr 3.22-3.53
Hg 0.0000 0.0000 0.5000  6 Pr 3.16-3.23
Hg 0.0000 0.5000 0.0000  6 Pr 3.16-3.23

Record 11
PrAlHg2 | PBE | relaxed

Output
**SG**: R-3m (166)
**Crystal system**: trigonal

a b c (Å): 6.0465 6.0465 6.0465
angles (deg): 44.82 44.82 44.82
Last column: nearest neighbours and their distance in Å.
Fractional positions:
Pr 0.0000 0.0000 0.0000  6 Hg 3.19
Al 0.5000 0.5000 0.5000  6 Hg 2.83
Hg 0.2249 0.2249 0.2249  3 Al 2.83
Hg 0.7751 0.7751 0.7751  3 Al 2.83

Record 12
PrAl4Hg | PBE | relaxed

Output
**SG**: F-43m (216)
**Crystal system**: cubic

a b c (Å): 5.6521 5.6521 5.6521
angles (deg): 60.00 60.00 60.00
Last column: nearest neighbours and their distance in Å.
Fractional positions:
Pr 0.0000 0.0000 0.0000  12 Al 3.31, 4 Hg 3.46
Al 0.1226 0.6258 0.6258  6 Al 2.81-2.84
Al 0.6258 0.1226 0.6258  6 Al 2.81-2.84
Al 0.6258 0.6258 0.1226  6 Al 2.81-2.84
Al 0.6258 0.6258 0.6258  6 Al 2.81-2.84
Hg 0.2500 0.2500 0.2500  12 Al 3.32, 4 Pr 3.46

no.,DFT formation energy (eV per atom),electronic total energy (eV/f.u.)
1,-0.386,-24.44
2,-0.465,-23.88
3,-0.435,-16.82
4,-0.275,-18.74
5,-0.200,-44.78
6,-0.342,-35.07
7,-0.233,-38.56
8,-0.463,-10.21
9,-0.346,-33.41
10,-0.158,-37.89
11,-0.329,-10.44
12,-0.144,-20.91